# 1
Compound: Rb3ErS3
Source: Alexandria
Functional: PBE
Structure: relaxed

```
Rb3ErS3
1.0
-5.383 -2.508 6.003
0.406 -5.124 -6.699
6.698 -2.942 3.658
Rb Er S
6 2 6
direct
0.620 0.620 0.363 Rb
0.184 0.816 0.500 Rb
0.816 0.184 0.500 Rb
0.251 0.749 0.000 Rb
0.749 0.251 0.000 Rb
0.380 0.380 0.637 Rb
0.822 0.822 0.858 Er
0.178 0.178 0.142 Er
0.902 0.902 0.185 S
0.836 0.544 0.728 S
0.544 0.836 0.728 S
0.164 0.456 0.272 S
0.456 0.164 0.272 S
0.098 0.098 0.815 S
```

- crystal system = monoclinic
- E_form (uncorrected) (kJ per mole of atoms) = -140.19

=====

# 2
Compound: RbEr4S6
Source: Alexandria
Functional: PBE
Structure: relaxed

```
RbEr4S6
1.0
-0.903 2.788 2.621
-4.274 -5.218 1.129
13.688 -8.285 13.525
Rb Er S
2 8 12
direct
0.652 0.304 0.250 Rb
0.348 0.696 0.750 Rb
0.869 0.738 0.540 Er
0.400 0.800 0.133 Er
0.131 0.262 0.460 Er
0.600 0.200 0.867 Er
0.869 0.738 0.960 Er
0.131 0.262 0.040 Er
0.600 0.200 0.633 Er
0.400 0.800 0.367 Er
0.500 0.000 0.000 S
0.500 0.000 0.500 S
0.034 0.067 0.351 S
0.966 0.933 0.649 S
0.966 0.933 0.851 S
0.034 0.067 0.149 S
0.771 0.541 0.421 S
0.229 0.459 0.579 S
0.229 0.459 0.921 S
0.771 0.541 0.079 S
0.346 0.692 0.250 S
0.654 0.308 0.750 S
```

- crystal system = orthorhombic
- E_form (uncorrected) (kJ per mole of atoms) = -186.61
- energy above the lowest structure with this stoichiometry (kcal/mol of atoms) = 0.00

=====

# 3
Compound: RbEr5S8
Source: Alexandria
Functional: PBE
Structure: relaxed

```
RbEr5S8
1.0
-1.507 3.205 -1.774
1.439 -4.092 -8.614
-8.576 -4.493 3.590
Rb Er S
1 5 8
direct
0.500 0.499 0.000 Rb
0.297 0.661 0.594 Er
0.703 0.339 0.406 Er
0.344 0.053 0.689 Er
0.656 0.947 0.311 Er
0.000 0.000 0.000 Er
0.229 0.144 0.457 S
0.771 0.856 0.543 S
0.170 0.490 0.341 S
0.830 0.510 0.659 S
0.080 0.809 0.160 S
0.920 0.191 0.840 S
0.421 0.858 0.841 S
0.579 0.142 0.159 S
```

- crystal system = monoclinic
- E_form (uncorrected) (kJ per mole of atoms) = -194.31